VASP calculation (PBE-GGA) on a relaxed Rh2BrN crystal.

a b c (Å): 6.016 6.016 6.016
angles (deg): 90.00 90.00 90.00
Fractional positions:
Rh1 0.250 0.250 0.250
Rh2 0.250 0.250 0.750
Rh3 0.250 0.750 0.250
Rh4 0.250 0.750 0.750
Rh5 0.750 0.250 0.250
Rh6 0.750 0.250 0.750
Rh7 0.750 0.750 0.250
Rh8 0.750 0.750 0.750
Br1 0.000 0.000 0.000
Br2 0.000 0.500 0.500
Br3 0.500 0.000 0.500
Br4 0.500 0.500 0.000
N1 0.000 0.000 0.500
N2 0.000 0.500 0.000
N3 0.500 0.000 0.000
N4 0.500 0.500 0.500

## Properties
Formation energy from raw total energies (eV/atom): 1.276
Calculated density (kg/m3): 9144
Calculated total energy (eV/atom): -4.899
Space-group type: Fm-3m

VASP calculation (PBE-GGA) on a relaxed RhBr3N crystal.

a b c (Å): 4.992 4.992 4.992
angles (deg): 90.00 90.00 90.00
Fractional positions:
Rh1 0.000 0.000 0.000
Br1 0.000 0.000 0.500
Br2 0.000 0.500 0.000
Br3 0.500 0.000 0.000
N1 0.500 0.500 0.500

## Properties
Formation energy from raw total energies (eV/atom): 1.439
Calculated density (kg/m3): 4761
Calculated total energy (eV/atom): -2.700
Space-group type: Pm-3m

VASP calculation (PBE-GGA) on a relaxed RhBr3N crystal.

a b c (Å): 4.664 4.664 4.664
angles (deg): 90.00 90.00 90.00
Fractional positions:
Rh1 0.000 0.000 0.000
Br1 0.000 0.500 0.500
Br2 0.500 0.000 0.500
Br3 0.500 0.500 0.000
N1 0.500 0.500 0.500

## Properties
Formation energy from raw total energies (eV/atom): 1.377
Calculated density (kg/m3): 5839
Calculated total energy (eV/atom): -2.762
Space-group type: Pm-3m

- Which value of calculated total energy does entry 3 give?
  -2.762 eV/atom